(1)
Entry from the Alexandria database: crystalline La2TiCdBi at its relaxed geometry (PBE-GGA).

Cell: 6.168 5.191 6.168 Å, 90.00 90.00 90.00°
Sites, in units of the cell vectors:
Ti  0.000  0.500  0.000
La  0.000  0.000  0.500
La  0.500  0.000  0.000
Bi  0.000  0.000  0.000
Cd  0.500  0.500  0.500

Electronic total energy, eV/cell: -20.831
M_tot, μB/f.u.: 2.5
D(E_F), states/eV/cell: 5.791
DFT formation energy, eV per atom: 0.34

***

(2)
Entry from the Alexandria database: crystalline CuSiAg at its relaxed geometry (PBE-GGA).

Cell: 4.214 4.214 2.946 Å, 90.00 90.00 120.00°
Sites, in units of the cell vectors:
Cu  0.667  0.333  0.500
Ag  0.000  0.000  0.001
Si  0.333  0.667  0.499

ΔE_f (raw), eV/atom: 0.189
Electronic total energy, eV/cell: -11.805
Relative energy among the computed polymorphs, meV/atom: 0
M_tot, μB/f.u.: 0.0
D(E_F), states/eV/cell: 0.791

***

(3)
Entry from the Alexandria database: crystalline KTmOsO6 at its relaxed geometry (PBE-GGA).

Cell: 5.561 5.561 5.820 Å, 90.00 90.00 60.00°
Sites, in units of the cell vectors:
O  0.362  0.594  0.314
O  0.044  0.362  0.314
O  0.362  0.044  0.686
O  0.594  0.044  0.314
O  0.594  0.362  0.686
O  0.044  0.594  0.686
K  0.000  0.000  0.000
Tm  0.667  0.667  0.500
Os  0.333  0.333  0.500

ΔE_f (raw), eV/atom: -1.807
Electronic total energy, eV/cell: -62.815
M_tot, μB/f.u.: 0.0